(1)
The following is a DFT calculation (PBEsol) of crystalline SrHgC3 at its relaxed geometry.

Lattice parameters (Å, degrees): 4.6178 4.6178 4.6178 90.00 90.00 90.00
With the nearest neighbours (Å) after each atom.
Atoms (fractional coordinates):
Sr 0.0000 0.0000 0.0000  6 C 2.31
C 0.0000 0.5000 0.0000  2 Sr 2.31
C 0.0000 0.0000 0.5000  2 Sr 2.31
C 0.5000 0.0000 0.0000  2 Sr 2.31
Hg 0.5000 0.5000 0.5000  12 C 3.27

Results
Fermi-level density of states: 0.99 states/eV/atom
calculated volume: 19.694 A^3/atom
SG: Pm-3m (221)
calculated density: 5468 kg/m³
E_form: 3.5698 eV/atom

(2)
The following is a DFT calculation (PBEsol) of crystalline Sr2HgC at its relaxed geometry.

Lattice parameters (Å, degrees): 6.7007 6.7007 6.7007 69.30 71.14 108.86
With the nearest neighbours (Å) after each atom.
Atoms (fractional coordinates):
Sr 0.0817 0.4567 0.1250  2 C 2.53
Sr 0.9183 0.7933 0.6250  2 C 2.53
Sr 0.5817 0.1250 0.7933  2 C 2.53
Sr 0.4183 0.6250 0.4567  2 C 2.53
C 0.5000 0.7500 0.7500  4 Sr 2.53
C 0.0000 0.5000 0.5000  4 Sr 2.53
Hg 0.5000 0.2500 0.2500  8 Sr 3.38-3.70
Hg 0.0000 0.0000 0.0000  8 Sr 3.38-3.70

Results
Fermi-level density of states: 0.90 states/eV/atom
calculated volume: 28.940 A^3/atom
SG: I-42d (122)
calculated density: 5563 kg/m³
E_form: 0.4646 eV/atom

(3)
The following is a DFT calculation (PBEsol) of crystalline Sr2HgC at its relaxed geometry.

Lattice parameters (Å, degrees): 5.1301 5.1301 5.1301 60.00 60.00 60.00
With the nearest neighbours (Å) after each atom.
Atoms (fractional coordinates):
Sr 0.2500 0.2500 0.2500  4 Hg 3.14, 4 C 3.14
Sr 0.7500 0.7500 0.7500  4 Hg 3.14, 4 C 3.14
C 0.0000 0.0000 0.0000  8 Sr 3.14
Hg 0.5000 0.5000 0.5000  8 Sr 3.14

Results
Fermi-level density of states: 0.12 states/eV/atom
calculated volume: 23.868 A^3/atom
SG: Fm-3m (225)
calculated density: 6746 kg/m³
E_form: 0.4732 eV/atom